Below is a relaxed structure of TbAgBr, with properties calculated at the GGA-PBE level.

Cell: 4.004 14.513 5.112 Å, 90.00 90.00 90.00°
Space group Cmcm (No. 63)
Symmetry-distinct sites (fractional):
1 Tb 0.000 0.112 0.250 [4 per cell]
2 Ag 0.000 0.459 0.250 [4 per cell]
3 Br 0.000 0.225 0.750 [4 per cell]

Summary:
DFT total energy: -3.8295 eV/atom

=====

Below is a relaxed structure of TbAg3Br6, with properties calculated at the GGA-PBE level.

Cell: 7.327 7.214 13.229 Å, 90.00 122.05 90.00°
Space group P2_1/c (No. 14)
Symmetry-distinct sites (fractional):
1 Tb 0.000 0.000 0.000 [2 per cell]
2 Ag 0.283 0.020 0.759 [4 per cell]
3 Ag 0.500 0.000 0.500 [2 per cell]
4 Br 0.070 0.172 0.412 [4 per cell]
5 Br 0.280 0.673 0.442 [4 per cell]
6 Br 0.348 0.109 0.233 [4 per cell]

Summary:
offset from the most stable computed form: 0.000 eV per atom

=====

Below is a relaxed structure of TbAgBr4, with properties calculated at the GGA-PBE level.

Cell: 15.550 4.162 7.391 Å, 90.00 116.61 90.00°
Space group C2/m (No. 12)
Symmetry-distinct sites (fractional):
1 Tb 0.000 0.000 0.000 [2 per cell]
2 Ag 0.000 0.500 0.500 [2 per cell]
3 Br 0.103 0.000 0.423 [4 per cell]
4 Br 0.123 0.500 0.986 [4 per cell]

Summary:
offset from the most stable computed form: 0.000 eV per atom

=====

Below is a relaxed structure of TbTl2Ag2Br6, with properties calculated at the GGA-PBE level.

Cell: 12.932 8.765 8.103 Å, 90.00 123.82 90.00°
Space group C2/m (No. 12)
Symmetry-distinct sites (fractional):
1 Tb 0.000 0.000 0.000 [2 per cell]
2 Tl 0.230 0.000 0.693 [4 per cell]
3 Ag 0.039 0.500 0.872 [4 per cell]
4 Br 0.052 0.218 0.298 [8 per cell]
5 Br 0.246 0.500 0.849 [4 per cell]

Summary:
DFT total energy: -3.2044 eV/atom

=====

Below is a relaxed structure of TbTlAgBr5, with properties calculated at the GGA-PBE level.

Cell: 9.213 13.039 10.692 Å, 90.00 112.05 90.00°
Space group C2/c (No. 15)
Symmetry-distinct sites (fractional):
1 Tb 0.000 0.000 0.000 [4 per cell]
2 Tl 0.000 0.356 0.250 [4 per cell]
3 Ag 0.000 0.309 0.750 [4 per cell]
4 Br 0.000 0.077 0.250 [4 per cell]
5 Br 0.115 0.196 0.599 [8 per cell]
6 Br 0.186 0.443 0.941 [8 per cell]

Summary:
DFT total energy: -3.5055 eV/atom

=====

Below is a relaxed structure of Tc2AgBr, with properties calculated at the GGA-PBE level.

Cell: 3.278 4.645 11.100 Å, 90.00 90.00 90.00°
Space group Imm2 (No. 44)
Symmetry-distinct sites (fractional):
1 Tc 0.000 0.000 0.000 [2 per cell]
2 Tc 0.000 0.500 0.356 [2 per cell]
3 Ag 0.000 0.500 0.855 [2 per cell]
4 Br 0.000 0.000 0.636 [2 per cell]

Summary:
offset from the most stable computed form: 0.460 eV per atom

=====

Below is a relaxed structure of Tc2AgBr, with properties calculated at the GGA-PBE level.

Cell: 2.894 4.416 6.623 Å, 90.00 90.00 90.00°
Space group Pmmm (No. 47)
Symmetry-distinct sites (fractional):
1 Tc 0.000 0.000 0.162 [2 per cell]
2 Ag 0.500 0.500 0.000 [1 per cell]
3 Br 0.500 0.500 0.500 [1 per cell]

Summary:
offset from the most stable computed form: 0.681 eV per atom

=====

Below is a relaxed structure of TcAgBr4, with properties calculated at the GGA-PBE level.

Cell: 7.204 7.219 9.228 Å, 104.11 104.11 112.03°
Space group P-1 (No. 2)
Symmetry-distinct sites (fractional):
1 Tc 0.064 0.314 0.128 [2 per cell]
2 Ag 0.419 0.169 0.837 [2 per cell]
3 Br 0.058 0.783 0.658 [2 per cell]
4 Br 0.182 0.421 0.905 [2 per cell]
5 Br 0.277 0.015 0.094 [2 per cell]
6 Br 0.399 0.624 0.341 [2 per cell]

Summary:
offset from the most stable computed form: 0.000 eV per atom

=====

Q: Which formula does entry 7 have?
A: Tc2AgBr